# 1
DFT (PBE) results for a relaxed structure of Mg14MnNb.

Cell and atoms, written as POSCAR:
```
Mg14MnNb
1.0
3.146 -5.449 0.000
3.146 5.449 0.000
0.000 0.000 9.993
Mg Mn Nb
14 1 1
Direct
0.000 0.500 0.000
0.681 0.840 0.250
0.500 0.000 0.000
0.667 0.333 0.253
0.500 0.500 0.000
0.498 0.502 0.500
0.160 0.840 0.750
0.005 0.502 0.500
0.681 0.840 0.750
0.498 0.995 0.500
0.160 0.840 0.250
0.160 0.319 0.250
0.667 0.333 0.747
0.160 0.319 0.750
0.000 0.000 0.000
0.000 0.000 0.500
```

As for the formation energy: 0.113 eV per atom. The relative energy among the computed polymorphs is 0.006 eV/atom.



# 2
DFT (PBE) results for a relaxed structure of LiPmCu2Si2.

Cell and atoms, written as POSCAR:
```
LiPmCu2Si2
1.0
4.097 0.000 0.000
-2.049 3.548 0.000
0.000 0.000 6.722
Si Cu Pm Li
2 2 1 1
Direct
0.333 0.667 0.290
0.667 0.333 0.710
0.333 0.667 0.664
0.667 0.333 0.336
0.000 0.000 0.000
0.000 0.000 0.500
```

The calculation puts the raw formation energy at -471.3 meV/atom.



# 3
DFT (PBE) results for a relaxed structure of Rb3I2O9.

Cell and atoms, written as POSCAR:
```
Rb3I2O9
1.0
8.163 0.088 0.826
0.755 8.128 0.826
0.095 0.088 8.204
O Rb I
18 6 4
Direct
0.545 0.396 0.245
0.604 0.755 0.455
0.250 0.381 0.119
0.396 0.245 0.545
0.045 0.745 0.896
0.119 0.250 0.381
0.381 0.119 0.250
0.955 0.255 0.104
0.881 0.750 0.619
0.750 0.619 0.881
0.455 0.604 0.755
0.755 0.455 0.604
0.619 0.881 0.750
0.745 0.896 0.045
0.245 0.545 0.396
0.104 0.955 0.255
0.255 0.104 0.955
0.896 0.045 0.745
0.408 0.750 0.092
0.592 0.250 0.908
0.750 0.092 0.408
0.250 0.908 0.592
0.092 0.408 0.750
0.908 0.592 0.250
0.655 0.655 0.655
0.155 0.155 0.155
0.845 0.845 0.845
0.345 0.345 0.345
```

The calculation puts the raw formation energy at -753.0 meV/atom.



# 4
DFT (PBE) results for a relaxed structure of CsCd4Ag.

Cell and atoms, written as POSCAR:
```
CsCd4Ag
1.0
6.244 0.000 0.000
3.122 5.407 0.000
3.122 1.802 5.098
Ag Cd Cs
1 4 1
Direct
0.000 0.000 0.000
0.627 0.627 0.627
0.120 0.627 0.627
0.627 0.627 0.120
0.627 0.120 0.627
0.250 0.250 0.250
```

As for the formation energy: 0.111 eV per atom. The relative energy among the computed polymorphs is 0.140 eV/atom.



# 5
DFT (PBE) results for a relaxed structure of Cs2SnHg16.

Cell and atoms, written as POSCAR:
```
Cs2SnHg16
1.0
8.422 0.245 1.222
1.092 8.355 1.222
0.271 0.245 8.506
Hg Cs Sn
16 2 1
Direct
0.295 0.000 0.712
0.871 0.348 0.348
0.712 0.295 0.000
0.178 0.626 0.626
0.536 0.981 0.981
0.626 0.178 0.626
0.295 0.712 0.000
0.712 0.000 0.295
0.000 0.295 0.712
0.348 0.348 0.871
0.981 0.536 0.981
0.102 0.102 0.102
0.981 0.981 0.536
0.626 0.626 0.178
0.348 0.871 0.348
0.000 0.712 0.295
0.327 0.327 0.327
0.654 0.654 0.654
0.909 0.909 0.909
```

As for the formation energy: -0.103 eV per atom.



# 6
DFT (PBE) results for a relaxed structure of AcTb6Pr4.

Cell and atoms, written as POSCAR:
```
AcTb6Pr4
1.0
-7.671 -4.972 3.650
5.608 0.249 -8.086
9.827 0.081 0.553
Pr Tb Ac
4 6 1
Direct
0.614 0.986 0.986
0.000 0.014 0.629
0.386 0.371 0.371
0.000 0.629 0.014
0.000 0.800 0.445
0.000 0.445 0.800
0.645 0.200 0.200
0.355 0.555 0.555
0.500 0.000 0.500
0.500 0.500 0.000
0.000 0.000 0.000
```

As for the formation energy: 0.320 eV per atom. The relative energy among the computed polymorphs is 0.000 eV/atom.



# 7
DFT (PBE) results for a relaxed structure of CaMg3Be.

Cell and atoms, written as POSCAR:
```
CaMg3Be
1.0
-3.681 4.687 -1.478
-4.861 -3.199 1.959
0.725 2.345 5.629
Be Mg Ca
1 3 1
Direct
0.500 0.500 0.500
0.500 0.000 0.000
0.000 0.000 0.500
0.000 0.500 0.000
0.000 0.000 0.000
```

As for the formation energy: 1.414 eV per atom. The relative energy among the computed polymorphs is 1.267 eV/atom.



# 8
DFT (PBE) results for a relaxed structure of Ti3VSi.

Cell and atoms, written as POSCAR:
```
Ti3VSi
1.0
4.190 -0.001 0.000
0.001 5.425 0.000
0.000 0.000 7.265
Ti V Si
6 2 2
Direct
0.250 0.994 0.280
0.750 0.006 0.720
0.750 0.750 0.076
0.250 0.506 0.280
0.250 0.250 0.924
0.750 0.494 0.720
0.750 0.750 0.422
0.250 0.250 0.578
0.750 0.250 0.135
0.250 0.750 0.865
```

The relative energy among the computed polymorphs is 0.000 eV/atom. The calculation puts the raw formation energy at 59.4 meV/atom.



Number 1: spin magnetization 0.227 μB per atom. Number 2: spin magnetization 0.000 μB per atom. Number 3: spin magnetization 0.082 μB per atom. Number 4: spin magnetization 0.000 μB per atom. Number 5: spin magnetization 0.000 μB per atom. Number 6: spin magnetization 0.000 μB per atom. Number 7: spin magnetization 0.000 μB per atom. Number 8: spin magnetization 0.000 μB per atom.